[1]
The following is a DFT calculation (PBE) of a geometry-optimized YAs2Pt structure.

Values from the calculation:
Uncorrected energy   -5.7688 eV/atom
Calculated formation energy   -30.7 kJ per mole of atoms
Magnetization   0.0 μB per cell
Calculated volume   77.8 Å³/f.u.

```
data_YAs2Pt
_symmetry_space_group_name_H-M 'P m m m'
_symmetry_Int_Tables_number 47
_cell_length_a 3.097
_cell_length_b 3.769
_cell_length_c 6.662
_cell_angle_alpha 90.00
_cell_angle_beta 90.00
_cell_angle_gamma 90.00
loop_
_symmetry_equiv_pos_as_xyz
'x,y,z'
'-x,-y,-z'
'-x,-y,z'
'x,y,-z'
'x,-y,-z'
'-x,y,z'
'-x,y,-z'
'x,-y,z'
loop_
_atom_site_label
_atom_site_fract_x
_atom_site_fract_y
_atom_site_fract_z
Y1 0.000 0.000 0.000
As1 0.500 0.500 0.277
Pt1 0.000 0.000 0.500
```

***

[2]
The following is a DFT calculation (PBE) of a geometry-optimized BaLiVN3 structure.

Values from the calculation:
Uncorrected energy   -6.9938 eV/atom
Magnetization   2.4 μB per cell
Calculated volume   80.9 Å³/f.u.

```
data_BaLiVN3
_symmetry_space_group_name_H-M 'C 1 2/c 1'
_symmetry_Int_Tables_number 15
_cell_length_a 5.778
_cell_length_b 10.416
_cell_length_c 5.379
_cell_angle_alpha 90.00
_cell_angle_beta 90.79
_cell_angle_gamma 90.00
loop_
_symmetry_equiv_pos_as_xyz
'x,y,z'
'-x,-y,-z'
'-x,y,-z+1/2'
'x,-y,z+1/2'
'x+1/2,y+1/2,z'
'-x+1/2,-y+1/2,-z'
'-x+1/2,y+1/2,-z+1/2'
'x+1/2,-y+1/2,z+1/2'
loop_
_atom_site_label
_atom_site_fract_x
_atom_site_fract_y
_atom_site_fract_z
Ba1 0.000 0.227 0.250
Li1 0.000 0.067 0.750
V1 0.000 0.447 0.750
N1 0.000 0.279 0.750
N2 0.229 0.497 0.499
```

***

[3]
The following is a DFT calculation (PBE) of a geometry-optimized SiBI2 structure.

Values from the calculation:
Uncorrected energy   -2.4426 eV/atom
Magnetization   0.0 μB per cell
Calculated volume   96.7 Å³/f.u.

```
data_SiBI2
_symmetry_space_group_name_H-M 'F m -3 m'
_symmetry_Int_Tables_number 225
_symmetry_space_group_name_Hall '-F 4 2 3'
_cell_length_a 7.287
_cell_length_b 7.287
_cell_length_c 7.287
_cell_angle_alpha 90.00
_cell_angle_beta 90.00
_cell_angle_gamma 90.00
loop_
_atom_site_label
_atom_site_fract_x
_atom_site_fract_y
_atom_site_fract_z
Si1 0.000 0.000 0.000
B1 0.000 0.000 0.500
I1 0.250 0.250 0.250
```

***

[4]
The following is a DFT calculation (PBE) of a geometry-optimized RbSrZnCl5 structure.

Values from the calculation:
Uncorrected energy   -3.5077 eV/atom
Magnetization   0.3 μB per cell
Calculated volume   273.2 Å³/f.u.

```
data_RbSrZnCl5
_symmetry_space_group_name_H-M 'C 1 2/c 1'
_symmetry_Int_Tables_number 15
_cell_length_a 9.318
_cell_length_b 12.430
_cell_length_c 10.279
_cell_angle_alpha 90.00
_cell_angle_beta 113.35
_cell_angle_gamma 90.00
loop_
_symmetry_equiv_pos_as_xyz
'x,y,z'
'-x,-y,-z'
'-x,y,-z+1/2'
'x,-y,z+1/2'
'x+1/2,y+1/2,z'
'-x+1/2,-y+1/2,-z'
'-x+1/2,y+1/2,-z+1/2'
'x+1/2,-y+1/2,z+1/2'
loop_
_atom_site_label
_atom_site_fract_x
_atom_site_fract_y
_atom_site_fract_z
Rb1 0.000 0.151 0.250
Sr1 0.000 0.500 0.000
Zn1 0.000 0.186 0.750
Cl1 0.000 0.408 0.250
Cl2 0.116 0.289 0.633
Cl3 0.173 0.073 0.919
```

***

[5]
The following is a DFT calculation (PBE) of a geometry-optimized Pr4AlTe2I structure.

Values from the calculation:
Uncorrected energy   -4.8605 eV/atom
Magnetization   0.0 μB per cell
Calculated volume   262.8 Å³/f.u.

```
data_Pr4AlTe2I
_symmetry_space_group_name_H-M 'P 1 2/m 1'
_symmetry_Int_Tables_number 10
_cell_length_a 7.817
_cell_length_b 4.435
_cell_length_c 7.988
_cell_angle_alpha 90.00
_cell_angle_beta 108.37
_cell_angle_gamma 90.00
loop_
_symmetry_equiv_pos_as_xyz
'x,y,z'
'-x,-y,-z'
'-x,y,-z'
'x,-y,z'
loop_
_atom_site_label
_atom_site_fract_x
_atom_site_fract_y
_atom_site_fract_z
Pr1 0.240 0.000 0.231
Pr2 0.251 0.500 0.775
Al1 0.000 0.500 0.000
Te1 0.500 0.000 0.000
Te2 0.500 0.500 0.500
I1 0.000 0.000 0.500
```

***

[6]
The following is a DFT calculation (PBE) of a geometry-optimized Lu2MgRu structure.

Values from the calculation:
Uncorrected energy   -5.1815 eV/atom
Calculated formation energy   -19.6 kJ per mole of atoms
Magnetization   0.0 μB per cell
Calculated volume   84.8 Å³/f.u.

```
data_Lu2MgRu
_symmetry_space_group_name_H-M 'P 4/m m m'
_symmetry_Int_Tables_number 123
_symmetry_space_group_name_Hall '-P 4 2'
_cell_length_a 4.852
_cell_length_b 4.852
_cell_length_c 3.601
_cell_angle_alpha 90.00
_cell_angle_beta 90.00
_cell_angle_gamma 90.00
loop_
_atom_site_label
_atom_site_fract_x
_atom_site_fract_y
_atom_site_fract_z
Lu1 0.000 0.500 0.000
Mg1 0.000 0.000 0.500
Ru1 0.500 0.500 0.500
```